No. 1
{
  "formula": "Tb5Pr2Nd2",
  "functional": "PBE",
  "state": "optimized geometry",
  "lattice": [[3.448, 0.000, -0.711], [-0.663, 9.360, -3.215], [0.527, -5.180, 11.268]],
  "species": ["Tb", "Nd", "Pr", "Nd", "Pr", "Tb", "Tb", "Tb", "Tb"],
  "fractional_positions": [[0.000, 0.000, 0.000], [0.495, 0.677, 0.989], [0.164, 0.104, 0.328], [0.505, 0.323, 0.011], [0.836, 0.896, 0.672], [0.174, 0.482, 0.349], [0.671, 0.803, 0.343], [0.826, 0.518, 0.651], [0.329, 0.197, 0.657]],
  "ef_ev_per_fu": 1.245
}



No. 2
{
  "formula": "HfSnIN2",
  "functional": "PBE",
  "state": "optimized geometry",
  "lattice": [[4.196, 0.000, 0.000], [0.000, 4.196, 0.000], [0.000, 0.000, 5.627]],
  "species": ["N", "Sn", "N", "I", "Hf"],
  "fractional_positions": [[0.000, 0.500, 0.000], [0.000, 0.000, 0.000], [0.500, 0.000, 0.000], [0.000, 0.000, 0.500], [0.500, 0.500, 0.500]],
  "formation_energy_uncorrected_ev_per_atom": 1.447
}



Across the entries above, calculated total energy takes the values -4.556, -4.984 eV/atom, respectively.
Across the entries above, density takes the values 7.4, 7.6 g/cm3, respectively.